Material: K2ZnP
Method: DFT, GGA-PBE
State: optimized geometry

abc: 3.162 4.510 8.441
angles: 90.00 90.09 90.00
Fractional coordinates of all 4 atoms:
1 K 0.002 0.000 0.211
2 K 0.998 0.000 0.789
3 Zn 0.500 0.500 0.500
4 P 0.500 0.500 0.000

Values from the calculation:
Energy above the lowest structure with this stoichiometry (kJ per mole of atoms): 34.3
Formation energy (eV/atom): 0.149